## K2MnHg (PBE-GGA)

Data for an optimized crystal structure of K2MnHg.

Lattice parameters (Å, degrees): 3.834 3.856 10.144 90.00 90.00 90.00
Sites, in units of the cell vectors:
1 Hg 0.500 0.500 0.667
2 K 0.000 0.000 0.923
3 K 0.500 0.500 0.320
4 Mn 0.000 0.000 0.590

Properties
E_form, eV per atom: 0.296
DOS(E_F), states/eV/atom: 0.5061
Uncorrected energy, eV for the cell shown: -10.48